Entry from Alexandria: ErScCu2Ge2 after structural relaxation (GGA-PBE).

Lattice parameters (Å, degrees): 4.195 4.195 6.973 90.00 90.00 120.00
Sites, in units of the cell vectors:
Er  0.000  0.000  0.000
Sc  0.000  0.000  0.500
Cu  0.333  0.667  0.719
Cu  0.667  0.333  0.281
Ge  0.333  0.667  0.262
Ge  0.667  0.333  0.738

Results
D(E_F) = 0.43 states/eV per atom
M_tot = 0.00 μB/f.u.
E = -32.21 eV per formula unit